Entry 1:
Compound: VAgSb2C
Source: the Alexandria database
Functional: PBE
Structure: optimized geometry

Calculated values
calculated total energy	-17.433	eV/cell
space group	P4/mmm
theoretical density	5.048	g/cm3
formation energy from raw total energies	12.0	eV/f.u.

Cell lengths 5.213, 5.213, 5.016 Å; angles 90.00, 90.00, 90.00 degrees
Atoms (fractional coordinates):
V 0.000 0.000 0.000
Ag 0.000 0.000 0.500
Sb 0.000 0.500 0.500
Sb 0.500 0.000 0.500
C 0.500 0.500 0.000

Entry 2:
Compound: ScAg3C
Source: the Alexandria database
Functional: PBE
Structure: optimized geometry

Calculated values
calculated total energy	-20.930	eV/cell
energy above the lowest structure with this stoichiometry	0.0	meV/atom
space group	Pm-3m
formation enthalpy at 0 K	0.636	eV per atom
theoretical density	7.497	g/cm3

Cell lengths 4.385, 4.385, 4.385 Å; angles 90.00, 90.00, 90.00 degrees
Atoms (fractional coordinates):
Sc 0.000 0.000 0.000
Ag 0.000 0.500 0.500
Ag 0.500 0.000 0.500
Ag 0.500 0.500 0.000
C 0.500 0.500 0.500